Record 1
First-principles (PBE) data for Al2CrSi after structural relaxation, as listed in Alexandria via LeMat-Bulk.

E_form (uncorrected) (kJ per mole of atoms): -6.2
Space-group type: No. 123
Crystal system: tetragonal
Magnetization (μB per formula unit): 0.00

```
Al2CrSi
1.0
3.324 0.000 0.000
0.000 3.324 0.000
0.000 0.000 5.038
Al Cr Si
2 1 1
Direct
0.000 0.000 0.243
0.000 0.000 0.757
0.500 0.500 0.000
0.500 0.500 0.500
```

---

Record 2
First-principles (PBE) data for AlCrSi4 after structural relaxation, as listed in Alexandria via LeMat-Bulk.

E_form (uncorrected) (kJ per mole of atoms): 41.2
Space-group type: No. 216
Crystal system: cubic
Magnetization (μB per formula unit): 3.39

```
AlCrSi4
1.0
0.000 3.534 3.534
3.534 0.000 3.534
3.534 3.534 0.000
Al Cr Si
1 1 4
Direct
0.000 0.000 0.000
0.750 0.750 0.750
0.375 0.375 0.375
0.375 0.375 0.875
0.375 0.875 0.375
0.875 0.375 0.375
```

---

Record 3
First-principles (PBE) data for AlCr2Si after structural relaxation, as listed in Alexandria via LeMat-Bulk.

E_form (uncorrected) (kJ per mole of atoms): -4.1
Space-group type: No. 10
Crystal system: monoclinic
Magnetization (μB per formula unit): 0.00

```
AlCr2Si
1.0
2.580 0.000 0.000
0.000 3.933 0.000
-0.983 0.000 4.900
Al Cr Si
1 2 1
Direct
0.000 0.000 0.000
0.274 0.500 0.748
0.726 0.500 0.252
0.500 0.000 0.500
```